# 1
This record from Alexandria via LeMat-Bulk describes an optimized crystal structure of CuAgPbCl5. The functional is PBE-GGA.

Cell and atoms, written as extended XYZ:
```
16
Lattice="5.082 -5.638 0.000 5.082 5.638 0.000 -5.009 0.000 8.615" Properties=species:S:1:pos:R:3 pbc="T T T"
Cu 1.326 3.668 6.461
Cu 3.830 -3.668 2.154
Ag 3.830 3.974 2.154
Ag 1.326 -3.974 6.461
Pb 5.082 0.000 0.000
Pb 2.578 0.000 4.308
Cl -0.204 0.372 3.425
Cl -0.348 2.220 6.771
Cl -2.708 -0.372 7.733
Cl 3.830 1.519 2.154
Cl 3.000 2.220 6.151
Cl 2.156 -2.220 2.464
Cl 1.326 -1.519 6.461
Cl 7.864 0.372 0.882
Cl 5.504 -2.220 1.844
Cl 5.359 -0.372 5.190
```

Summary:
Its space group is C2/c (15). As for the formation energy without anion corrections: -0.68 eV/atom. The crystal system is monoclinic.

# 2
This record from Alexandria via LeMat-Bulk describes an optimized crystal structure of SrPmAsPd. The functional is PBE-GGA.

Cell and atoms, written as extended XYZ:
```
4
Lattice="0.000 3.690 3.690 3.690 0.000 3.690 3.690 3.690 0.000" Properties=species:S:1:pos:R:3 pbc="T T T"
Sr 0.000 0.000 0.000
Pm 3.690 3.690 3.690
As 5.534 5.534 5.534
Pd 1.845 1.845 1.845
```

Summary:
Its space group is F-43m (216). The crystal system is cubic.

# 3
This record from Alexandria via LeMat-Bulk describes an optimized crystal structure of CrCuRe2. The functional is PBE-GGA.

Cell and atoms, written as extended XYZ:
```
4
Lattice="0.000 3.034 3.034 3.034 0.000 3.034 3.034 3.034 0.000" Properties=species:S:1:pos:R:3 pbc="T T T"
Cr 0.000 0.000 0.000
Cu 1.517 1.517 1.517
Re 3.034 3.034 3.034
Re 4.551 4.551 4.551
```

Summary:
Its space group is F-43m (216). The crystal system is cubic. For the energy above the lowest structure with this stoichiometry, the calculation gives 44 meV per atom.

# 4
This record from Alexandria via LeMat-Bulk describes an optimized crystal structure of Mg12Ni6Pb. The functional is PBE-GGA.

Cell and atoms, written as extended XYZ:
```
19
Lattice="-4.433 4.433 4.433 4.433 -4.433 4.433 4.433 4.433 -4.433" Properties=species:S:1:pos:R:3 pbc="T T T"
Mg 4.433 2.786 -1.820
Mg 2.613 0.000 1.648
Mg 6.253 0.000 1.648
Mg 1.648 2.613 0.000
Mg 2.786 -1.820 4.433
Mg 0.000 1.648 2.613
Mg 4.433 2.786 1.820
Mg 1.648 6.253 0.000
Mg 2.786 1.820 4.433
Mg -1.820 4.433 2.786
Mg 1.820 4.433 2.786
Mg 0.000 1.648 6.253
Ni 4.433 1.146 0.000
Ni 4.433 0.000 3.288
Ni 3.288 4.433 0.000
Ni 1.146 0.000 4.433
Ni 0.000 4.433 1.146
Ni 0.000 3.288 4.433
Pb 0.000 0.000 0.000
```

Summary:
Its space group is Im-3 (204). The crystal system is cubic.

# 5
This record from Alexandria via LeMat-Bulk describes an optimized crystal structure of FeRu2Cl. The functional is PBE-GGA.

Cell and atoms, written as extended XYZ:
```
4
Lattice="2.840 0.000 0.000 0.000 2.840 0.000 0.000 0.000 7.248" Properties=species:S:1:pos:R:3 pbc="T T T"
Fe 0.000 0.000 0.000
Ru 0.000 0.000 3.499
Ru 1.420 1.420 1.870
Cl 1.420 1.420 5.532
```

Summary:
Its space group is P4mm (99). As for the formation energy without anion corrections: 0.38 eV/atom. The crystal system is tetragonal. For the energy above the lowest structure with this stoichiometry, the calculation gives 81 meV per atom.

# 6
This record from Alexandria via LeMat-Bulk describes an optimized crystal structure of H2PtBr8. The functional is PBE-GGA.

Cell and atoms, written as extended XYZ:
```
11
Lattice="7.053 -5.091 0.000 7.053 5.091 0.000 -0.730 0.000 5.547" Properties=species:S:1:pos:R:3 pbc="T T T"
H 2.983 0.000 1.301
H 10.393 0.000 4.245
Pt 6.688 0.000 2.773
Br 2.032 0.000 0.187
Br 6.129 1.771 1.114
Br 4.230 0.000 3.314
Br 7.247 1.771 4.433
Br 6.129 -1.771 1.114
Br 9.146 0.000 2.232
Br 7.247 -1.771 4.433
Br 11.343 0.000 5.360
```

Summary:
Its space group is C2/m (12). The crystal system is monoclinic.

# 7
This record from Alexandria via LeMat-Bulk describes an optimized crystal structure of Ni3BiMo. The functional is PBE-GGA.

Cell and atoms, written as extended XYZ:
```
5
Lattice="4.562 0.000 0.000 0.000 4.562 0.000 0.000 0.000 4.562" Properties=species:S:1:pos:R:3 pbc="T T T"
Ni 0.000 0.000 2.281
Ni 0.000 2.281 0.000
Ni 2.281 0.000 0.000
Bi 2.281 2.281 2.281
Mo 0.000 0.000 0.000
```

Summary:
Its space group is Pm-3m (221). The crystal system is cubic. For the energy above the lowest structure with this stoichiometry, the calculation gives 0 meV per atom.

# 8
This record from Alexandria via LeMat-Bulk describes an optimized crystal structure of Y2ZrBr. The functional is PBE-GGA.

Cell and atoms, written as extended XYZ:
```
4
Lattice="1.761 1.017 10.155 -1.761 1.017 10.155 0.000 -2.034 10.155" Properties=species:S:1:pos:R:3 pbc="T T T"
Y 0.000 0.000 0.000
Y 0.000 0.000 7.203
Zr 0.000 0.000 22.895
Br 0.000 0.000 14.844
```

Summary:
Its space group is R3m (160). As for the formation energy without anion corrections: -0.31 eV/atom. The crystal system is trigonal. For the energy above the lowest structure with this stoichiometry, the calculation gives 162 meV per atom.

# 9
This record from Alexandria via LeMat-Bulk describes an optimized crystal structure of YTlZn2. The functional is PBE-GGA.

Cell and atoms, written as extended XYZ:
```
4
Lattice="4.559 0.000 0.000 0.000 4.559 0.000 0.000 0.000 4.175" Properties=species:S:1:pos:R:3 pbc="T T T"
Y 0.000 0.000 0.000
Tl 2.279 2.279 0.000
Zn 0.000 2.279 2.087
Zn 2.279 0.000 2.087
```

Summary:
Its space group is P4/mmm (123). The crystal system is tetragonal. For the energy above the lowest structure with this stoichiometry, the calculation gives 0 meV per atom.

# 10
This record from Alexandria via LeMat-Bulk describes an optimized crystal structure of Ga2Bi2F. The functional is PBE-GGA.

Cell and atoms, written as extended XYZ:
```
10
Lattice="7.396 0.000 0.000 0.000 7.396 0.000 0.000 0.000 4.486" Properties=species:S:1:pos:R:3 pbc="T T T"
Ga 0.897 2.801 0.000
Ga 2.801 6.500 0.000
Ga 4.595 0.897 0.000
Ga 6.500 4.595 0.000
Bi 1.523 5.221 2.243
Bi 2.175 1.523 2.243
Bi 5.221 5.873 2.243
Bi 5.873 2.175 2.243
F 0.000 0.000 2.243
F 3.698 3.698 2.243
```

Summary:
Its space group is P4/mbm (127). As for the formation energy without anion corrections: -0.39 eV/atom. The crystal system is tetragonal. For the energy above the lowest structure with this stoichiometry, the calculation gives 26 meV per atom.

# 11
This record from Alexandria via LeMat-Bulk describes an optimized crystal structure of BaHg5Au2. The functional is PBE-GGA.

Cell and atoms, written as extended XYZ:
```
8
Lattice="-2.296 4.237 5.477 2.296 -4.237 5.477 2.296 4.237 -5.477" Properties=species:S:1:pos:R:3 pbc="T T T"
Ba 0.000 0.000 0.000
Hg 2.296 2.651 -1.607
Hg 2.296 2.651 1.607
Hg 0.000 4.237 0.000
Hg 0.000 1.587 3.870
Hg 0.000 1.587 7.085
Au 2.296 0.000 2.580
Au 0.000 4.237 2.897
```

Summary:
Its space group is Immm (71). The crystal system is orthorhombic.

# 12
This record from Alexandria via LeMat-Bulk describes an optimized crystal structure of BeAg3Cl6. The functional is PBE-GGA.

Cell and atoms, written as extended XYZ:
```
20
Lattice="6.443 0.000 0.000 0.000 7.212 0.000 -4.369 0.000 10.518" Properties=species:S:1:pos:R:3 pbc="T T T"
Be 0.000 0.000 0.000
Be -2.184 3.606 5.259
Ag -1.455 0.857 8.734
Ag 0.730 2.749 3.475
Ag 1.037 0.000 5.259
Ag 3.222 3.606 0.000
Ag 1.345 4.463 7.043
Ag 3.529 6.355 1.784
Cl -3.575 1.782 9.828
Cl -1.391 1.824 4.568
Cl -0.463 4.762 4.487
Cl -2.647 6.055 9.747
Cl 1.570 0.420 2.817
Cl -0.614 3.186 8.076
Cl 2.689 4.025 2.442
Cl 0.505 6.792 7.701
Cl 4.722 1.156 0.772
Cl 2.538 2.450 6.031
Cl 3.466 5.388 5.950
Cl 5.650 5.430 0.691
```

Summary:
Its space group is P2_1/c (14). As for the formation energy without anion corrections: -0.59 eV/atom. The crystal system is monoclinic. For the energy above the lowest structure with this stoichiometry, the calculation gives 85 meV per atom.

| no. | electronic total energy (eV/atom) |
| --- | --- |
| 1 | -3.17 |
| 2 | -4.91 |
| 3 | -9.39 |
| 4 | -3.07 |
| 5 | -6.83 |
| 6 | -2.48 |
| 7 | -5.37 |
| 8 | -6.10 |
| 9 | -3.06 |
| 10 | -3.53 |
| 11 | -1.51 |
| 12 | -2.92 |